{"formula": "Zr12Ti4Ni8O", "functional": "PBE with a Hubbard U", "state": "relaxed", "sg": "R-3m", "total_energy_ev_per_atom": -6.34, "volume_a3_per_atom": 16.89, "lattice": [[4.215, 2.434, 6.862], [-4.215, 2.434, 6.862], [0.000, -4.867, 6.862]], "species": ["Zr", "Zr", "Zr", "Zr", "Zr", "Zr", "Zr", "Zr", "Zr", "Zr", "Zr", "Zr", "Ti", "Ti", "Ti", "Ti", "Ni", "Ni", "Ni", "Ni", "Ni", "Ni", "Ni", "Ni", "O"], "fractional_positions": [[0.179, 0.568, 0.568], [0.182, 0.182, 0.573], [0.182, 0.573, 0.182], [0.427, 0.818, 0.818], [0.432, 0.432, 0.821], [0.432, 0.821, 0.432], [0.568, 0.179, 0.568], [0.568, 0.568, 0.179], [0.573, 0.182, 0.182], [0.818, 0.427, 0.818], [0.818, 0.818, 0.427], [0.821, 0.432, 0.432], [0.000, 0.000, 0.000], [0.000, 0.000, 0.500], [0.000, 0.500, 0.000], [0.500, 0.000, 0.000], [0.109, 0.796, 0.796], [0.204, 0.204, 0.891], [0.204, 0.891, 0.204], [0.209, 0.209, 0.209], [0.791, 0.791, 0.791], [0.796, 0.109, 0.796], [0.796, 0.796, 0.109], [0.891, 0.204, 0.204], [0.500, 0.500, 0.500]]}